Below is an optimized crystal structure of Mg2TlAgI6, with properties calculated at the PBE level.

## Properties
The formation energy without anion corrections is -759 meV/atom. Its space group is C2/c (15). The total magnetization comes out at 0.00 μB per cell.

Lattice parameters (Å, degrees): 8.3641 10.7719 10.7719 87.64 75.25 75.25
With the nearest neighbours (Å) after each atom.
Fractional positions:
1 Ag 0.2500 0.2080 0.7920  4 I 2.81-3.02
2 Ag 0.7500 0.7920 0.2080  4 I 2.81-3.02
3 Mg 0.7035 0.2369 0.3855  4 I 2.75-2.80
4 Mg 0.7965 0.6145 0.7631  4 I 2.75-2.80
5 Mg 0.2035 0.3855 0.2369  4 I 2.75-2.80
6 Mg 0.2965 0.7631 0.6145  4 I 2.75-2.80
7 I 0.3251 0.1900 0.0532  1 Mg 2.76, 1 Ag 3.02
8 I 0.4310 0.8685 0.3869  1 Mg 2.75, 1 Ag 2.81
9 I 0.6749 0.8100 0.9468  1 Mg 2.76, 1 Ag 3.02
10 I 0.1749 0.9468 0.8100  1 Mg 2.76, 1 Ag 3.02
11 I 0.9796 0.3054 0.4405  2 Mg 2.76-2.80
12 I 0.5204 0.5595 0.6946  2 Mg 2.76-2.80
13 I 0.0690 0.6131 0.1315  1 Mg 2.75, 1 Ag 2.81
14 I 0.4796 0.4405 0.3054  2 Mg 2.76-2.80
15 I 0.5690 0.1315 0.6131  1 Mg 2.75, 1 Ag 2.81
16 I 0.0204 0.6946 0.5595  2 Mg 2.76-2.80
17 I 0.9310 0.3869 0.8685  1 Mg 2.75, 1 Ag 2.81
18 I 0.8251 0.0532 0.1900  1 Mg 2.76, 1 Ag 3.02
19 Tl 0.2500 0.8758 0.1242  6 I 3.49-3.61
20 Tl 0.7500 0.1242 0.8758  6 I 3.49-3.61


Below is an optimized crystal structure of Re2SiPt, with properties calculated at the PBE level.

## Properties
The formation energy without anion corrections is -133 meV/atom. Its space group is Amm2 (38). The total magnetization comes out at 0.00 μB per cell.

Lattice parameters (Å, degrees): 2.7981 2.8438 15.0267 90.00 90.00 90.00
With the nearest neighbours (Å) after each atom.
Fractional positions:
1 Re 0.5000 0.5000 0.4788  8 Re 2.68-2.84, 4 Pt 2.83
2 Re 0.5000 0.0000 0.9788  8 Re 2.68-2.84, 4 Pt 2.83
3 Re 0.0000 0.0000 0.3599  4 Si 2.59, 8 Re 2.68-2.84
4 Re 0.0000 0.5000 0.8600  4 Si 2.59, 8 Re 2.68-2.84
5 Pt 0.0000 0.0000 0.6127  2 Si 2.49
6 Pt 0.0000 0.5000 0.1127  2 Si 2.49
7 Si 0.5000 0.0000 0.7499  2 Pt 2.49, 4 Re 2.59
8 Si 0.5000 0.5000 0.2499  2 Pt 2.49, 4 Re 2.59


Below is an optimized crystal structure of ZnPAu2, with properties calculated at the PBE level.

## Properties
The calculation puts the offset from the most stable computed form at 1.55 kcal/mol of atoms. Its space group is Cmmm (65). Its formation energy from the elements is 0.14 eV/atom. The total magnetization comes out at 0.00 μB per cell.

Lattice parameters (Å, degrees): 5.3012 5.3012 2.7599 90.00 90.00 113.68
With the nearest neighbours (Å) after each atom.
Fractional positions:
1 P 0.5000 0.5000 0.0000  4 Au 2.65, 2 P 2.76, 2 Zn 2.90
2 Zn 0.0000 0.0000 0.0000  4 Au 2.65, 2 Zn 2.76, 2 P 2.90
3 Au 0.5000 0.0000 0.0000  2 P 2.65, 2 Zn 2.65, 4 Au 2.76-2.90
4 Au 0.0000 0.5000 0.0000  2 P 2.65, 2 Zn 2.65, 4 Au 2.76-2.90


Below is an optimized crystal structure of KIn2Hg3, with properties calculated at the PBE level.

## Properties
Its space group is Cmcm (63). Its formation energy from the elements is -0.11 eV/atom. The total magnetization comes out at 0.00 μB per cell.

Lattice parameters (Å, degrees): 6.9491 7.3110 7.3110 100.00 90.00 90.00
With the nearest neighbours (Å) after each atom.
Fractional positions:
1 K 0.7500 0.6595 0.6595  3 Hg 3.41-3.82
2 K 0.2500 0.3405 0.3405  3 Hg 3.41-3.82
3 In 0.5000 0.7786 0.2214  4 Hg 3.00-3.03
4 In 0.0000 0.2214 0.7786  4 Hg 3.00-3.03
5 In 0.0000 0.7786 0.2214  4 Hg 3.00-3.03
6 In 0.5000 0.2214 0.7786  4 Hg 3.00-3.03
7 Hg 0.7500 0.0221 0.0221  2 Hg 3.03, 4 In 3.03
8 Hg 0.2500 0.8536 0.5600  2 In 3.00, 2 Hg 3.03-3.29
9 Hg 0.2500 0.5600 0.8536  2 In 3.00, 2 Hg 3.03-3.29
10 Hg 0.7500 0.1464 0.4400  2 In 3.00, 2 Hg 3.03-3.29
11 Hg 0.7500 0.4400 0.1464  2 In 3.00, 2 Hg 3.03-3.29
12 Hg 0.2500 0.9779 0.9779  2 Hg 3.03, 4 In 3.03


no.,D(E_F) (states/eV/f.u.)
1,0.0
2,3.0
3,1.0
4,2.4